# 1
A geometry-optimized CdBNF2 structure. Source: the Alexandria database, functional PBEsol.

Cell: 4.285 4.312 4.312 Å, 90.00 90.00 90.00°
Atoms (fractional coordinates):
1 N 0.500 0.000 0.000
2 F 0.000 0.000 0.500
3 F 0.000 0.500 0.000
4 B 0.500 0.500 0.500
5 Cd 0.000 0.000 0.000


# 2
A geometry-optimized CdBN2F structure. Source: the Alexandria database, functional PBEsol.

Cell: 4.205 4.205 4.380 Å, 90.00 90.00 90.00°
Atoms (fractional coordinates):
1 N 0.000 0.500 0.000
2 N 0.500 0.000 0.000
3 F 0.000 0.000 0.500
4 B 0.500 0.500 0.500
5 Cd 0.000 0.000 0.000


# 3
A geometry-optimized CdBOF2 structure. Source: the Alexandria database, functional PBEsol.

Cell: 4.128 4.265 4.265 Å, 90.00 90.00 90.00°
Atoms (fractional coordinates):
1 B 0.500 0.500 0.500
2 F 0.000 0.000 0.500
3 F 0.000 0.500 0.000
4 O 0.500 0.000 0.000
5 Cd 0.000 0.000 0.000


Number 1: energy -3.360 eV per atom, N(E_F) 0.3624 states/eV per atom, raw formation energy 0.759 eV per atom. Number 2: energy -3.411 eV per atom, N(E_F) 0.3845 states/eV per atom, raw formation energy 2.028 eV per atom. Number 3: energy -3.406 eV per atom, N(E_F) 0.6141 states/eV per atom, raw formation energy 0.058 eV per atom.